Record 1
Material: SmLuGeAu
Method: DFT, GGA-PBE
State: relaxed

Energy: -20.01 eV per formula unit

Lattice parameters (Å, degrees): 5.088 5.088 5.088 60.00 60.00 60.00
Atoms (fractional coordinates):
Sm1 0.000 0.000 0.000
Lu1 0.500 0.500 0.500
Ge1 0.250 0.250 0.250
Au1 0.750 0.750 0.750

---

Record 2
Material: La2Sm2Er3
Method: DFT, GGA-PBE
State: relaxed

Energy relative to the lowest polymorph listed for this composition: 0.0 meV/atom
Energy: -32.09 eV per formula unit

Lattice parameters (Å, degrees): 5.649 5.649 9.211 113.14 113.14 64.23
Atoms (fractional coordinates):
La1 0.078 0.078 0.217
La2 0.922 0.922 0.783
Sm1 0.215 0.215 0.644
Sm2 0.785 0.785 0.356
Er1 0.358 0.358 0.068
Er2 0.500 0.500 0.500
Er3 0.642 0.642 0.932

---

Record 3
Material: Sr2BeCoPd
Method: DFT, GGA-PBE
State: relaxed

Energy relative to the lowest polymorph listed for this composition: 0.0 meV/atom
Energy: -17.81 eV per formula unit

Lattice parameters (Å, degrees): 5.670 5.670 3.940 90.00 90.00 90.00
Atoms (fractional coordinates):
Sr1 0.000 0.500 0.000
Sr2 0.500 0.000 0.000
Be1 0.000 0.000 0.000
Co1 0.000 0.000 0.500
Pd1 0.500 0.500 0.500

---

Record 4
Material: UTc2As
Method: DFT, GGA-PBE
State: relaxed

Energy relative to the lowest polymorph listed for this composition: 0.0 meV/atom
Energy: -37.46 eV per formula unit

Lattice parameters (Å, degrees): 4.241 4.241 3.708 90.00 90.00 90.00
Atoms (fractional coordinates):
U1 0.000 0.000 0.000
Tc1 0.000 0.500 0.500
Tc2 0.500 0.000 0.500
As1 0.500 0.500 0.000

---

Record 5
Material: AlHgSbTe2
Method: DFT, GGA-PBE
State: relaxed

ΔE_f (raw): 0.73 eV/atom
Energy relative to the lowest polymorph listed for this composition: 412.3 meV/atom
Energy: -10.81 eV per formula unit

Lattice parameters (Å, degrees): 5.735 5.735 5.480 90.00 90.00 90.00
Atoms (fractional coordinates):
Al1 0.000 0.000 0.000
Hg1 0.500 0.500 0.500
Sb1 0.500 0.500 0.000
Te1 0.000 0.500 0.500
Te2 0.500 0.000 0.500

---

Record 6
Material: AcIn2Rh2
Method: DFT, GGA-PBE
State: relaxed

Energy relative to the lowest polymorph listed for this composition: 158.4 meV/atom
Energy: -26.25 eV per formula unit

Lattice parameters (Å, degrees): 4.487 4.487 6.766 107.15 107.15 66.31
Atoms (fractional coordinates):
Ac1 0.000 0.000 0.000
In1 0.225 0.225 0.623
In2 0.775 0.775 0.377
Rh1 0.389 0.389 0.292
Rh2 0.611 0.611 0.708

---

no.,calculated density (g/cm3)
1,10.6
2,7.7
3,4.6
4,12.7
5,5.6
6,9.4